Record 1
A plane-wave DFT calculation with PBE was carried out for a geometry-optimized MnZn3Si structure.

Lattice parameters (Å, degrees): 4.6977 4.6977 4.6977 90.00 90.00 90.00
Site moments in Bohr magnetons follow the coordinates.
Element x y z (fractional)
Zn 0.0000 0.5000 0.0000  0.01
Zn 0.0000 0.0000 0.5000  0.01
Zn 0.5000 0.0000 0.0000  -0.03
Mn 0.0000 0.0000 0.0000  2.90
Si 0.5000 0.5000 0.5000  -0.08

Fermi-level density of states = 0.773 states/eV/atom
E above lowest polymorph = 176 meV/atom

---

Record 2
A plane-wave DFT calculation with PBE was carried out for a geometry-optimized Sc4TcHg structure.

Lattice parameters (Å, degrees): 5.8968 7.1563 7.1563 111.49 99.38 99.38
Element x y z (fractional)
Sc 0.8952 0.6351 0.8004
Sc 0.0483 0.9318 0.2768
Sc 0.6048 0.1996 0.3649
Sc 0.4517 0.7232 0.0682
Sc 0.5483 0.2768 0.9318
Sc 0.3952 0.8004 0.6351
Sc 0.9517 0.0682 0.7232
Sc 0.1048 0.3649 0.1996
Tc 0.2500 0.9990 0.0010
Tc 0.7500 0.0010 0.9990
Hg 0.7500 0.6267 0.3733
Hg 0.2500 0.3733 0.6267

Fermi-level density of states = 0.931 states/eV/atom
DFT formation energy = -0.269 eV per atom
E above lowest polymorph = 0 meV/atom

---

Record 3
A plane-wave DFT calculation with PBE was carried out for a geometry-optimized Nb7Re3Mo2 structure.

Lattice parameters (Å, degrees): 4.4430 4.5468 11.3431 101.56 90.00 90.00
Element x y z (fractional)
Nb 0.0000 0.4268 0.8535
Nb 0.0000 0.7123 0.4245
Nb 0.0000 0.0000 0.0000
Nb 0.0000 0.5732 0.1465
Nb 0.5000 0.0760 0.1519
Nb 0.5000 0.9240 0.8481
Nb 0.0000 0.2877 0.5755
Re 0.5000 0.5000 0.0000
Re 0.5000 0.6451 0.2901
Re 0.5000 0.3549 0.7099
Mo 0.0000 0.8524 0.7048
Mo 0.0000 0.1476 0.2952

Fermi-level density of states = 0.865 states/eV/atom
DFT formation energy = 0.304 eV per atom

---

Record 4
A plane-wave DFT calculation with PBE was carried out for a geometry-optimized Ac2ZnCoN structure.

Lattice parameters (Å, degrees): 4.1361 6.6896 8.8863 110.47 90.00 90.00
Element x y z (fractional)
Ac 0.7500 0.7857 0.6144
Ac 0.7500 0.7787 0.0347
Ac 0.2500 0.2143 0.3856
Ac 0.2500 0.2213 0.9653
Zn 0.2500 0.6718 0.2955
Zn 0.7500 0.3282 0.7045
Co 0.2500 0.5255 0.7471
Co 0.7500 0.4745 0.2529
N 0.2500 0.8191 0.8225
N 0.7500 0.1809 0.1775

Energy = -5.45 eV/atom
Fermi-level density of states = 0.945 states/eV/atom

---

Record 5
A plane-wave DFT calculation with PBE was carried out for a geometry-optimized Mg2BiSbS structure.

Lattice parameters (Å, degrees): 5.2355 6.0665 5.2355 90.00 90.00 90.00
Element x y z (fractional)
Mg 0.0000 0.0000 0.5000
Mg 0.5000 0.0000 0.0000
Sb 0.0000 0.0000 0.0000
S 0.5000 0.5000 0.5000
Bi 0.0000 0.5000 0.0000

Energy = -2.60 eV/atom
Fermi-level density of states = 0.726 states/eV/atom

---

Record 6
A plane-wave DFT calculation with PBE was carried out for a geometry-optimized OsRu4Se structure.

Lattice parameters (Å, degrees): 5.0915 5.0915 5.0915 60.00 60.00 60.00
Element x y z (fractional)
Os 0.0000 0.0000 0.0000
Ru 0.8768 0.3744 0.3744
Ru 0.3744 0.3744 0.8768
Ru 0.3744 0.8768 0.3744
Ru 0.3744 0.3744 0.3744
Se 0.7500 0.7500 0.7500

Energy = -7.65 eV/atom
Fermi-level density of states = 1.711 states/eV/atom

---

Record 7
A plane-wave DFT calculation with PBE was carried out for a geometry-optimized Rb3SnGe2Br9 structure.

Lattice parameters (Å, degrees): 7.9919 7.9919 9.8322 90.00 90.00 120.00
Element x y z (fractional)
Rb 0.3333 0.6667 0.6830
Rb 0.0000 0.0000 0.0000
Rb 0.6667 0.3333 0.3170
Sn 0.0000 0.0000 0.5000
Ge 0.3333 0.6667 0.1617
Ge 0.6667 0.3333 0.8383
Br 0.8293 0.1707 0.6742
Br 0.8293 0.6585 0.6742
Br 0.3415 0.1707 0.6742
Br 0.6585 0.8293 0.3258
Br 0.1707 0.3415 0.3258
Br 0.1707 0.8293 0.3258
Br 0.5000 0.0000 0.0000
Br 0.0000 0.5000 0.0000
Br 0.5000 0.5000 0.0000

Energy = -3.17 eV/atom

---

Record 8
A plane-wave DFT calculation with PBE was carried out for a geometry-optimized CdRh4 structure.

Lattice parameters (Å, degrees): 3.9035 4.8237 4.8237 99.42 113.87 66.13
Element x y z (fractional)
Cd 0.0000 0.0000 0.0000
Rh 0.8096 0.7886 0.4078
Rh 0.1904 0.2114 0.5922
Rh 0.5982 0.5922 0.7886
Rh 0.4018 0.4078 0.2114

Fermi-level density of states = 1.154 states/eV/atom
DFT formation energy = 0.039 eV per atom
E above lowest polymorph = 0 meV/atom

---

Record 9
A plane-wave DFT calculation with PBE was carried out for a geometry-optimized Y4Tl3Pd structure.

Lattice parameters (Å, degrees): 3.6284 3.6284 15.8132 90.00 90.00 90.00
Element x y z (fractional)
Y 0.0000 0.0000 0.8934
Y 0.0000 0.0000 0.1066
Y 0.0000 0.0000 0.3685
Y 0.0000 0.0000 0.6315
Tl 0.5000 0.5000 0.2392
Tl 0.5000 0.5000 0.5000
Tl 0.5000 0.5000 0.7608
Pd 0.5000 0.5000 0.0000

Fermi-level density of states = 0.712 states/eV/atom
DFT formation energy = -0.502 eV per atom

---

Record 10
A plane-wave DFT calculation with PBE was carried out for a geometry-optimized Y4AlZn structure.

Lattice parameters (Å, degrees): 6.2263 6.2263 6.2263 60.00 60.00 60.00
Element x y z (fractional)
Y 0.8766 0.3745 0.3745
Y 0.3745 0.3745 0.8766
Y 0.3745 0.8766 0.3745
Y 0.3745 0.3745 0.3745
Al 0.0000 0.0000 0.0000
Zn 0.7500 0.7500 0.7500

Fermi-level density of states = 0.858 states/eV/atom
DFT formation energy = 0.443 eV per atom
E above lowest polymorph = 688 meV/atom

---

Record 11
A plane-wave DFT calculation with PBE was carried out for a geometry-optimized ErZr2Ga structure.

Lattice parameters (Å, degrees): 4.1995 4.3274 10.5287 101.84 90.00 90.00
Element x y z (fractional)
Er 0.2500 0.3061 0.6112
Er 0.7500 0.6939 0.3888
Zr 0.7500 0.4404 0.8805
Zr 0.2500 0.5596 0.1195
Zr 0.2500 0.9434 0.8864
Zr 0.7500 0.0566 0.1136
Ga 0.7500 0.8403 0.6799
Ga 0.2500 0.1597 0.3201

Fermi-level density of states = 1.017 states/eV/atom
DFT formation energy = -0.308 eV per atom
E above lowest polymorph = 0 meV/atom

---

Record 12
A plane-wave DFT calculation with PBE was carried out for a geometry-optimized NiCl structure.

Lattice parameters (Å, degrees): 7.1469 7.1469 7.1469 90.00 90.00 90.00
Site moments in Bohr magnetons follow the coordinates.
Element x y z (fractional)
Ni 0.3777 0.3777 0.3777  0.91
Ni 0.3777 0.6223 0.6223  0.91
Ni 0.6223 0.3777 0.6223  0.91
Ni 0.6223 0.6223 0.3777  0.91
Ni 0.8777 0.8777 0.8777  0.91
Ni 0.8777 0.1223 0.1223  0.91
Ni 0.1223 0.8777 0.1223  0.91
Ni 0.1223 0.1223 0.8777  0.91
Cl 0.1958 0.1958 0.1958  0.09
Cl 0.1958 0.8042 0.8042  0.09
Cl 0.8042 0.1958 0.8042  0.09
Cl 0.8042 0.8042 0.1958  0.09
Cl 0.6958 0.6958 0.6958  0.09
Cl 0.6958 0.3042 0.3042  0.09
Cl 0.3042 0.6958 0.3042  0.09
Cl 0.3042 0.3042 0.6958  0.09

Energy = -3.89 eV/atom
Fermi-level density of states = 1.349 states/eV/atom

---

Calculated mass density, 4.5, 5.9, 10.4, 8.5, 4.1, 12.0, 3.8, 11.5, 8.6, 4.4, 7.4, 3.4 g cm⁻³ (same order as the records).